Record 1
VASP calculation (PBE-GGA) on a relaxed structure of SrBe2Os.

The structure in POSCAR format:
```
SrBe2Os
1.0
5.5459 0.0012 0.0023
2.7059 4.8409 -0.0023
-3.3653 -3.7173 2.3693
Sr Be Os
1 2 1
direct
0.2509 0.7509 0.5000
0.7462 0.2462 0.5000
0.9542 0.9542 0.0000
0.5486 0.5486 0.0000
```

## Properties
Space-group type: Imm2, No. 44
Energy of formation (eV/atom): 0.71
Total DFT energy (no corrections) (eV per atom): -4.3773
Offset from the most stable computed form (meV per atom): 670.7
Magnetization (μB/cell): 0.00
Fermi-level density of states (states/eV/f.u.): 1.61

---

Record 2
VASP calculation (PBE-GGA) on a relaxed structure of MgIn2Se2.

The structure in POSCAR format:
```
MgIn2Se2
1.0
-1.6822 7.1592 0.1967
-6.3499 -1.5844 3.3602
2.1753 0.3931 4.2961
Mg Se In
2 4 4
direct
0.5000 0.5000 0.0000
0.0000 0.0000 0.0000
0.6826 0.1826 0.0000
0.8174 0.6826 0.0000
0.1826 0.3174 0.0000
0.3174 0.8174 0.0000
0.8523 0.3523 0.5000
0.3523 0.1477 0.5000
0.6477 0.8523 0.5000
0.1477 0.6477 0.5000
```

## Properties
Space-group type: P4/mbm, No. 127
Raw formation energy (eV per atom): -0.3798
Total DFT energy (no corrections) (eV per atom): -3.1879
Magnetization (μB/cell): 0.00
Fermi-level density of states (states/eV/f.u.): 1.35

---

Record 3
VASP calculation (PBE-GGA) on a relaxed structure of YAuCl2.

The structure in POSCAR format:
```
YAuCl2
1.0
6.4889 0.0711 0.1814
5.4494 3.5235 0.1814
3.8332 1.1541 6.1019
Cl Au Y
2 1 1
direct
0.0242 0.0242 0.0771
0.1611 0.1611 0.3781
0.8068 0.8068 0.6801
0.5079 0.5079 0.3647
```

## Properties
Space-group type: Cm, No. 8
Raw formation energy (eV per atom): -1.4545
Total DFT energy (no corrections) (eV per atom): -4.8132
Offset from the most stable computed form (meV per atom): 0.0
Magnetization (μB/cell): 0.00
Fermi-level density of states (states/eV/f.u.): 0.00

---

Listing ρ for the structures above in their given order: 7.729 5.231 4.404 g cm⁻³.